! NdGa4Ni2Ru | Alexandria via LeMat-Bulk | PBE | optimized geometry; values from VASP
! final energy	-5.17	eV per atom
! SG	R-3m (166)
! total magnetic moment	0.000	μB per formula unit
&SYSTEM
  ibrav = 0, nat = 8, ntyp = 4
/
ATOMIC_SPECIES
Nd 144.24 Nd.upf
Ga 69.72 Ga.upf
Ni 58.69 Ni.upf
Ru 101.07 Ru.upf
CELL_PARAMETERS angstrom
2.063 1.191 8.995
-2.063 1.191 8.995
0.000 -2.382 8.995
ATOMIC_POSITIONS crystal
Nd 0.000 0.000 0.000
Ga 0.131 0.131 0.131
Ga 0.404 0.404 0.404
Ga 0.596 0.596 0.596
Ga 0.869 0.869 0.869
Ni 0.231 0.231 0.231
Ni 0.769 0.769 0.769
Ru 0.500 0.500 0.500

=====

! NdGa4NiRu2 | Alexandria via LeMat-Bulk | PBE | optimized geometry; values from VASP
! final energy	-5.58	eV per atom
! SG	R-3m (166)
! total magnetic moment	0.000	μB per formula unit
&SYSTEM
  ibrav = 0, nat = 8, ntyp = 4
/
ATOMIC_SPECIES
Nd 144.24 Nd.upf
Ga 69.72 Ga.upf
Ni 58.69 Ni.upf
Ru 101.07 Ru.upf
CELL_PARAMETERS angstrom
2.116 1.221 8.698
-2.116 1.221 8.698
0.000 -2.443 8.698
ATOMIC_POSITIONS crystal
Nd 0.000 0.000 0.000
Ga 0.132 0.132 0.132
Ga 0.403 0.403 0.403
Ga 0.597 0.597 0.597
Ga 0.868 0.868 0.868
Ni 0.500 0.500 0.500
Ru 0.230 0.230 0.230
Ru 0.770 0.770 0.770